Version a
First-principles (PBE) data for crystalline Cs3KNa at its relaxed geometry, as listed in Alexandria.

## Properties
- Magnetization: 0.00 μB/cell

abc: 8.019 8.019 8.019
angles: 90.00 90.00 90.00
Space group Pm-3m (No. 221)
Asymmetric unit:
1 Cs 0.000 0.000 0.500 [3 per cell]
2 K 0.500 0.500 0.500 [1 per cell]
3 Na 0.000 0.000 0.000 [1 per cell]

---

Version b
First-principles (PBE) data for crystalline Cs3KNa at its relaxed geometry, as listed in Alexandria.

## Properties
- Magnetization: 0.00 μB/cell

abc: 33.651 5.821 9.587
angles: 90.00 99.22 90.00
Space group C2/m (No. 12)
Asymmetric unit:
1 Cs 0.001 0.000 0.265 [4 per cell]
2 Cs 0.138 0.500 0.569 [4 per cell]
3 Cs 0.197 0.000 0.098 [4 per cell]
4 K 0.086 0.500 0.041 [4 per cell]
5 Na 0.239 0.000 0.598 [4 per cell]

---

Version c
First-principles (PBE) data for crystalline Cs3KNa at its relaxed geometry, as listed in Alexandria.

## Properties
- Magnetization: 0.00 μB/cell

abc: 8.349 8.349 8.349
angles: 90.00 90.00 90.00
Space group Pm-3m (No. 221)
Asymmetric unit:
1 Cs 0.000 0.000 0.500 [3 per cell]
2 K 0.000 0.000 0.000 [1 per cell]
3 Na 0.500 0.500 0.500 [1 per cell]

---

Going by the energies, version b is most stable and the next is 0.048 eV/atom up.

---

Version a
First-principles (PBE) data for crystalline Cs4KNa2 at its relaxed geometry, as listed in Alexandria.

## Properties
- Magnetization: 0.00 μB/cell

abc: 7.5570 7.5570 39.0924
angles: 90.00 90.00 120.00
Space group R-3m (No. 166, hexagonal axes)
Asymmetric unit:
1 Cs 0.0000 0.0000 0.1162 [6 per cell]
2 Cs 0.0000 0.0000 0.2889 [6 per cell]
3 K 0.0000 0.0000 0.5000 [3 per cell]
4 Na 0.0000 0.0000 0.4012 [6 per cell]

---

Version b
First-principles (PBE) data for crystalline Cs4KNa2 at its relaxed geometry, as listed in Alexandria.

## Properties
- Magnetization: 0.00 μB/cell

abc: 8.355 8.355 20.932
angles: 90.00 90.00 90.00
Space group I4/mmm (No. 139)
Asymmetric unit:
1 Cs 0.000 0.000 0.217 [4 per cell]
2 Cs 0.000 0.500 0.000 [4 per cell]
3 K 0.000 0.000 0.000 [2 per cell]
4 Na 0.000 0.000 0.416 [4 per cell]

---

Going by the energies, version a is most stable and the next is 0.075 eV/atom up.

---

Version a
First-principles (PBE) data for crystalline Cs4K2Na at its relaxed geometry, as listed in Alexandria.

## Properties
- Magnetization: 0.00 μB/cell

abc: 17.697 17.697 7.989
angles: 90.00 90.00 90.00
Space group I4/mcm (No. 140)
Asymmetric unit:
1 Cs 0.095 0.209 0.000 [16 per cell]
2 K 0.093 0.407 0.500 [8 per cell]
3 Na 0.000 0.000 0.250 [4 per cell]

---

Version b
First-principles (PBE) data for crystalline Cs4K2Na at its relaxed geometry, as listed in Alexandria.

## Properties
- Magnetization: 0.00 μB/cell

abc: 26.175 4.993 10.595
angles: 90.00 109.74 90.00
Space group C2/m (No. 12)
Asymmetric unit:
1 Cs 0.081 0.000 0.414 [4 per cell]
2 Cs 0.124 0.500 0.923 [4 per cell]
3 K 0.248 0.000 0.312 [4 per cell]
4 Na 0.000 0.000 0.000 [2 per cell]

---

Going by the energies, version a is most stable and the next is 0.023 eV/atom up.

---

Version a
First-principles (PBE) data for crystalline Cs3K5Na at its relaxed geometry, as listed in Alexandria.

## Properties
- Magnetization: 0.00 μB/cell

abc: 11.4228 11.4228 6.6383
angles: 90.00 90.00 120.00
Space group P-62m (No. 189)
Asymmetric unit:
1 Cs 0.0000 0.5998 0.0000 [3 per cell]
2 K 0.0000 0.2306 0.5000 [3 per cell]
3 K 0.3333 0.6667 0.5000 [2 per cell]
4 Na 0.0000 0.0000 0.0000 [1 per cell]

---

Version b
First-principles (PBE) data for crystalline Cs3K5Na at its relaxed geometry, as listed in Alexandria.

## Properties
- Magnetization: 0.00 μB/cell

abc: 13.6365 13.6365 9.0623
angles: 90.00 90.00 120.00
Space group P6_3/mcm (No. 193)
Asymmetric unit:
1 Cs 0.0000 0.3810 0.2500 [6 per cell]
2 K 0.0000 0.2545 0.7500 [6 per cell]
3 K 0.3333 0.6667 0.0000 [4 per cell]
4 Na 0.0000 0.0000 0.0000 [2 per cell]

---

Going by the energies, version a is most stable and the next is 0.009 eV/atom up.

---

Version a
First-principles (PBE) data for crystalline Cs2K2Na5 at its relaxed geometry, as listed in Alexandria.

## Properties
- Magnetization: 0.00 μB/cell

abc: 18.817 4.491 15.177
angles: 90.00 121.19 90.00
Space group C2/m (No. 12)
Asymmetric unit:
1 Cs 0.110 0.000 0.355 [4 per cell]
2 K 0.142 0.500 0.888 [4 per cell]
3 Na 0.000 0.500 0.000 [2 per cell]
4 Na 0.105 0.500 0.608 [4 per cell]
5 Na 0.223 0.500 0.205 [4 per cell]

---

Version b
First-principles (PBE) data for crystalline Cs2K2Na5 at its relaxed geometry, as listed in Alexandria.

## Properties
- Magnetization: 0.00 μB/cell

abc: 18.412 9.564 12.339
angles: 90.00 90.00 90.00
Space group Ima2 (No. 46)
Asymmetric unit:
1 Cs 0.125 0.009 0.000 [8 per cell]
2 K 0.000 0.000 0.601 [4 per cell]
3 K 0.250 0.517 0.108 [4 per cell]
4 Na 0.046 0.169 0.299 [8 per cell]
5 Na 0.151 0.661 0.811 [8 per cell]
6 Na 0.250 0.171 0.299 [4 per cell]

---

Going by the energies, version b is most stable and the next is 0.033 eV/atom up.

---

Version a
First-principles (PBE) data for crystalline CsK6Na at its relaxed geometry, as listed in Alexandria.

## Properties
- Magnetization: 0.00 μB/cell

abc: 10.115 21.979 20.616
angles: 90.00 90.00 90.00
Space group Cmmm (No. 65)
Asymmetric unit:
1 Cs 0.000 0.000 0.226 [4 per cell]
2 Cs 0.000 0.238 0.500 [4 per cell]
3 K 0.000 0.000 0.000 [2 per cell]
4 K 0.000 0.000 0.500 [2 per cell]
5 K 0.000 0.242 0.251 [8 per cell]
6 K 0.000 0.500 0.000 [2 per cell]
7 K 0.000 0.500 0.500 [2 per cell]
8 K 0.226 0.389 0.358 [16 per cell]
9 K 0.230 0.360 0.113 [16 per cell]
10 Na 0.000 0.238 0.000 [4 per cell]
11 Na 0.000 0.500 0.220 [4 per cell]

---

Version b
First-principles (PBE) data for crystalline CsK6Na at its relaxed geometry, as listed in Alexandria.

## Properties
- Magnetization: 0.00 μB/cell

abc: 10.124 15.208 8.755
angles: 90.00 120.16 90.00
Space group C2/m (No. 12)
Asymmetric unit:
1 Cs 0.000 0.000 0.000 [2 per cell]
2 K 0.037 0.500 0.276 [4 per cell]
3 K 0.229 0.237 0.741 [8 per cell]
4 Na 0.000 0.000 0.500 [2 per cell]

---

Going by the energies, version a is most stable and the next is 0.016 eV/atom up.

---

Version a
First-principles (PBE) data for crystalline CsK3Na3 at its relaxed geometry, as listed in Alexandria.

## Properties
- Magnetization: 0.00 μB/cell

abc: 10.364 10.364 10.364
angles: 90.00 90.00 90.00
Space group Pm-3n (No. 223)
Asymmetric unit:
1 Cs 0.000 0.000 0.000 [2 per cell]
2 K 0.000 0.250 0.500 [6 per cell]
3 Na 0.000 0.500 0.250 [6 per cell]

---

Version b
First-principles (PBE) data for crystalline CsK3Na3 at its relaxed geometry, as listed in Alexandria.

## Properties
- Magnetization: 0.00 μB/cell

abc: 11.4645 11.4645 22.7102
angles: 90.00 90.00 120.00
Space group R-3 (No. 148, hexagonal axes)
Asymmetric unit:
1 Cs 0.0000 0.0000 0.0920 [6 per cell]
2 K 0.0155 0.7840 0.5871 [18 per cell]
3 Na 0.0521 0.8258 0.7599 [18 per cell]

---

Going by the energies, version b is most stable and the next is 0.134 eV/atom up.

---

Version a
First-principles (PBE) data for crystalline CsKNa3 at its relaxed geometry, as listed in Alexandria.

## Properties
- Magnetization: 0.00 μB/cell

abc: 7.290 7.290 7.290
angles: 90.00 90.00 90.00
Space group Pm-3m (No. 221)
Asymmetric unit:
1 Cs 0.000 0.000 0.000 [1 per cell]
2 K 0.500 0.500 0.500 [1 per cell]
3 Na 0.000 0.000 0.500 [3 per cell]

---

Version b
First-principles (PBE) data for crystalline CsKNa3 at its relaxed geometry, as listed in Alexandria.

## Properties
- Magnetization: 0.00 μB/cell

abc: 7.606 10.195 14.668
angles: 90.00 90.00 90.00
Space group Imma (No. 74)
Asymmetric unit:
1 Cs 0.000 0.250 0.009 [4 per cell]
2 K 0.000 0.000 0.500 [4 per cell]
3 Na 0.000 0.250 0.288 [4 per cell]
4 Na 0.250 0.067 0.750 [8 per cell]

---

Version c
First-principles (PBE) data for crystalline CsKNa3 at its relaxed geometry, as listed in Alexandria.

## Properties
- Magnetization: 0.00 μB/cell

abc: 7.005 7.005 7.005
angles: 90.00 90.00 90.00
Space group Pm-3m (No. 221)
Asymmetric unit:
1 Cs 0.000 0.000 0.000 [1 per cell]
2 K 0.500 0.500 0.500 [1 per cell]
3 Na 0.000 0.500 0.500 [3 per cell]

---

Version d
First-principles (PBE) data for crystalline CsKNa3 at its relaxed geometry, as listed in Alexandria.

## Properties
- Magnetization: 0.00 μB/cell

abc: 13.271 7.870 10.888
angles: 90.00 94.72 90.00
Space group P2_1/c (No. 14)
Asymmetric unit:
1 Cs 0.109 0.119 0.192 [4 per cell]
2 K 0.434 0.614 0.670 [4 per cell]
3 Na 0.134 0.623 0.039 [4 per cell]
4 Na 0.263 0.557 0.347 [4 per cell]
5 Na 0.366 0.103 0.516 [4 per cell]

---

Going by the energies, version d is most stable and the next is 0.012 eV/atom up.

---

Version a
First-principles (PBE) data for crystalline Cs2K2Na at its relaxed geometry, as listed in Alexandria.

## Properties
- Magnetization: 0.00 μB/cell

abc: 5.747 5.747 26.366
angles: 90.00 90.00 90.00
Space group I4/mmm (No. 139)
Asymmetric unit:
1 Cs 0.000 0.000 0.092 [4 per cell]
2 K 0.000 0.500 0.250 [4 per cell]
3 Na 0.000 0.000 0.500 [2 per cell]

---

Version b
First-principles (PBE) data for crystalline Cs2K2Na at its relaxed geometry, as listed in Alexandria.

## Properties
- Magnetization: 0.00 μB/cell

abc: 6.912 25.412 9.202
angles: 90.00 90.00 90.00
Space group Cmc2_1 (No. 36)
Asymmetric unit:
1 Cs 0.000 0.023 0.000 [4 per cell]
2 Cs 0.000 0.218 0.948 [4 per cell]
3 K 0.000 0.157 0.436 [4 per cell]
4 K 0.000 0.405 0.207 [4 per cell]
5 Na 0.000 0.398 0.724 [4 per cell]

---

Going by the energies, version b is most stable and the next is 0.043 eV/atom up.